1.
The following is a PBE calculation of crystalline Te2Pb at its relaxed geometry, from Alexandria.

Values from the calculation:
- E_form (uncorrected) (eV/atom) = -0.19
- E (eV/f.u.) = -10.551
- total magnetization (μB/cell) = 0.000

a b c (Å): 4.857 6.216 7.970
angles (deg): 90.00 90.00 90.00
Sites, in units of the cell vectors:
Te: 0.000 0.171 0.612
Pb: 0.000 0.000 0.000
Pb: 0.500 0.500 0.500
Te: 0.500 0.671 0.888
Te: 0.000 0.829 0.388
Te: 0.500 0.329 0.112


2.
The following is a PBE calculation of crystalline TiRhO4 at its relaxed geometry, from Alexandria.

Values from the calculation:
- E_form (uncorrected) (eV/atom) = -1.83
- E (eV/f.u.) = -46.043
- total magnetization (μB/cell) = 1.203

a b c (Å): 4.636 5.517 5.569
angles (deg): 114.02 90.00 90.00
Site moments in Bohr magnetons follow the coordinates.
Sites, in units of the cell vectors:
Ti: 0.000 0.500 0.500  0.00
O: 0.699 0.145 0.845  0.08
O: 0.202 0.839 0.645  0.03
O: 0.702 0.661 0.355  0.03
O: 0.199 0.355 0.155  0.08
Ti: 0.500 0.000 0.500  0.00
O: 0.298 0.339 0.645  0.03
O: 0.798 0.161 0.355  0.03
O: 0.801 0.645 0.845  0.08
Rh: 0.000 0.000 0.000  0.32
O: 0.301 0.855 0.155  0.08
Rh: 0.500 0.500 0.000  0.32


3.
The following is a PBE calculation of crystalline FeS8Br2 at its relaxed geometry, from Alexandria.

Values from the calculation:
- E_form (uncorrected) (eV/atom) = 0.00
- E (eV/f.u.) = -44.852
- total magnetization (μB/cell) = 0.605

a b c (Å): 8.023 3.702 26.577
angles (deg): 58.25 24.99 58.22
Site moments in Bohr magnetons follow the coordinates.
Sites, in units of the cell vectors:
Br: 0.675 0.744 0.563  0.02
S: 0.234 0.238 0.994  -0.02
Fe: 0.000 0.000 0.000  0.61
S: 0.489 0.848 0.194  0.03
S: 0.766 0.762 0.006  -0.02
S: 0.030 0.702 0.286  -0.02
S: 0.511 0.152 0.806  0.03
S: 0.841 0.094 0.836  -0.01
S: 0.970 0.298 0.714  -0.02
Br: 0.325 0.256 0.437  0.02
S: 0.159 0.906 0.164  -0.01


4.
The following is a PBE calculation of crystalline LaY2Se4 at its relaxed geometry, from Alexandria.

Values from the calculation:
- E_form (uncorrected) (eV/atom) = -1.94
- E (eV/f.u.) = -45.354
- total magnetization (μB/cell) = 0.000

a b c (Å): 4.088 7.056 13.899
angles (deg): 90.00 90.00 106.84
Sites, in units of the cell vectors:
Y: 0.869 0.738 0.566
Se: 0.227 0.455 0.620
Se: 0.958 0.915 0.750
Y: 0.131 0.262 0.434
Se: 0.773 0.545 0.380
Y: 0.869 0.738 0.934
Se: 0.500 0.000 0.500
Se: 0.500 0.000 0.000
La: 0.379 0.757 0.250
Se: 0.227 0.455 0.880
Y: 0.131 0.262 0.066
Se: 0.773 0.545 0.120
La: 0.621 0.243 0.750
Se: 0.042 0.085 0.250


5.
The following is a PBE calculation of crystalline CsTlP2Cl at its relaxed geometry, from Alexandria.

Values from the calculation:
- E_form (uncorrected) (eV/atom) = 0.87
- E (eV/f.u.) = -11.547
- total magnetization (μB/cell) = 2.980
- ΔE to the lowest computed polymorph (meV/atom) = 709

a b c (Å): 5.990 5.990 6.314
angles (deg): 90.00 90.00 90.00
Site moments in Bohr magnetons follow the coordinates.
Sites, in units of the cell vectors:
Cs: 0.000 0.000 0.000  0.00
Tl: 0.500 0.500 0.500  0.01
P: 0.500 0.000 0.000  0.59
Cl: 0.000 0.000 0.500  0.06
P: 0.000 0.500 0.000  0.59


6.
The following is a PBE calculation of crystalline NpSb at its relaxed geometry, from Alexandria.

Values from the calculation:
- E_form (uncorrected) (eV/atom) = -0.24
- E (eV/f.u.) = -17.537
- total magnetization (μB/cell) = 4.577
- ΔE to the lowest computed polymorph (meV/atom) = 0

a b c (Å): 3.143 4.044 4.044
angles (deg): 90.00 90.00 90.00
Site moments in Bohr magnetons follow the coordinates.
Sites, in units of the cell vectors:
Np: 0.500 0.500 0.500  4.28
Sb: 0.000 0.000 0.000  -0.10


7.
The following is a PBE calculation of crystalline TlAsH2 at its relaxed geometry, from Alexandria.

Values from the calculation:
- E (eV/f.u.) = -13.208
- total magnetization (μB/cell) = 0.000
- ΔE to the lowest computed polymorph (meV/atom) = 0

a b c (Å): 5.369 5.690 4.598
angles (deg): 113.76 90.11 135.50
Sites, in units of the cell vectors:
Tl: 0.210 0.242 0.820
As: 0.707 0.239 0.231
H: 0.031 0.544 0.620
H: 0.387 0.938 0.318


8.
The following is a PBE calculation of crystalline AcHo6Th at its relaxed geometry, from Alexandria.

Values from the calculation:
- E (eV/f.u.) = -37.004
- total magnetization (μB/cell) = 0.000
- ΔE_f (eV/atom) = 0.25
- ΔE to the lowest computed polymorph (meV/atom) = 203

a b c (Å): 6.529 6.745 7.684
angles (deg): 63.98 63.87 89.85
Sites, in units of the cell vectors:
Ho: 0.533 0.728 0.544
Th: 0.000 0.500 0.000
Ho: 0.927 0.240 0.521
Ho: 0.073 0.760 0.479
Ho: 0.501 0.746 0.999
Ho: 0.467 0.272 0.456
Ho: 0.499 0.254 0.001
Ac: 0.000 0.000 0.000